# YMn2SbO6 GGA+U relaxed
# mass density: 5.56 g/cm3
# raw total energy: -7.461 eV per atom
data_YMn2SbO6
_chemical_formula_sum 'Y3 Mn6 Sb3 O18'
_cell_length_a 5.5646
_cell_length_b 5.5646
_cell_length_c 13.9105
_cell_angle_alpha 90.00
_cell_angle_beta 90.00
_cell_angle_gamma 120.00
_symmetry_space_group_name_H-M 'R 3'
_symmetry_Int_Tables_number 146
_symmetry_space_group_name_Hall 'R 3'
loop_
_atom_site_label
_atom_site_type_symbol
_atom_site_fract_x
_atom_site_fract_y
_atom_site_fract_z
_atom_site_occupancy
Y1 Y 0.0000 0.0000 0.0000 1
Mn1 Mn 0.0000 0.0000 0.2774 1
Mn2 Mn 0.0000 0.0000 0.7802 1
Sb1 Sb 0.0000 0.0000 0.4907 1
O1 O 0.0085 0.4211 0.5410 1
O2 O 0.0366 0.6234 0.0450 1